No. 1
5
Lattice="-2.1797 2.1797 7.1119 2.1797 -2.1797 7.1119 2.1797 2.1797 -7.1119" Properties=species:S:1:pos:R:3 comment="RbGePt2Pb, relaxed, DFT GGA-PBE" volume_a3_per_atom=27.0 e_tot_ev_per_cell=-23.039 space_group=I4mm pbc="T T T"
Rb 0.0000 0.0000 0.0000
Ge 0.0000 0.0000 9.0354
Pt 2.1797 0.0000 3.1177
Pt 0.0000 2.1797 3.1177
Pb 0.0000 0.0000 4.8636

No. 2
5
Lattice="-2.1388 2.1388 7.4912 2.1388 -2.1388 7.4912 2.1388 2.1388 -7.4912" Properties=species:S:1:pos:R:3 comment="PaCd2Pb2, relaxed, DFT GGA-PBE" e_above_lowest_polymorph_mev_per_atom=0 volume_a3_per_atom=27.4 e_tot_ev_per_cell=-17.494 space_group=I4/mmm pbc="T T T"
Pa 0.0000 0.0000 0.0000
Cd 2.1388 0.0000 3.7456
Cd 0.0000 2.1388 3.7456
Pb 0.0000 0.0000 5.9498
Pb 0.0000 0.0000 9.0326

No. 3
28
Lattice="3.9345 0.0000 0.0000 0.0000 3.9345 0.0000 0.0000 0.0000 24.8091" Properties=species:S:1:pos:R:3 comment="Nb2Bi2PbO9, relaxed, DFT GGA-PBE" e_above_lowest_polymorph_mev_per_atom=32 volume_a3_per_atom=13.7 e_tot_ev_per_cell=-205.820 space_group=P4/mmm pbc="T T T"
Nb 0.0000 0.0000 2.1924
Nb 0.0000 0.0000 22.6167
Nb 1.9672 1.9672 10.2011
Nb 1.9672 1.9672 14.6080
Bi 0.0000 0.0000 7.4246
Bi 0.0000 0.0000 17.3845
Bi 1.9672 1.9672 4.9685
Bi 1.9672 1.9672 19.8406
Pb 0.0000 0.0000 12.4046
Pb 1.9672 1.9672 0.0000
O 0.0000 0.0000 0.0000
O 0.0000 0.0000 4.0877
O 0.0000 0.0000 20.7214
O 0.0000 1.9672 1.9918
O 0.0000 1.9672 6.1961
O 0.0000 1.9672 10.4022
O 0.0000 1.9672 14.4069
O 0.0000 1.9672 18.6130
O 0.0000 1.9672 22.8173
O 1.9672 0.0000 1.9918
O 1.9672 0.0000 6.1961
O 1.9672 0.0000 10.4022
O 1.9672 0.0000 14.4069
O 1.9672 0.0000 18.6130
O 1.9672 0.0000 22.8173
O 1.9672 1.9672 8.3063
O 1.9672 1.9672 12.4046
O 1.9672 1.9672 16.5028

No. 4
4
Lattice="3.7184 0.0000 0.0000 0.0000 3.7184 0.0000 0.0000 0.0000 6.5355" Properties=species:S:1:pos:R:3 comment="YSnAu2, relaxed, DFT GGA-PBE" volume_a3_per_atom=22.6 e_tot_ev_per_cell=-19.441 space_group=P4/mmm pbc="T T T"
Y 0.0000 0.0000 0.0000
Sn 0.0000 0.0000 3.2678
Au 1.8592 1.8592 1.5490
Au 1.8592 1.8592 4.9866